Entry 1:
## La3HfMo (GGA-PBE)

Data for a geometry-optimized La3HfMo structure.

Cell: 5.463 5.463 5.463 Å, 90.00 90.00 90.00°
Element x y z (fractional)
La (0.000, 0.500, 0.000)
La (0.000, 0.000, 0.500)
Hf (0.500, 0.500, 0.500)
Mo (0.000, 0.000, 0.000)
La (0.500, 0.000, 0.000)

## Properties
Crystal system: cubic
Polymorph energy (0 for the lowest one) in meV/atom: 0.0
ΔE_f in meV per atom: 679
Magnetization in μB per formula unit: 0.0
DOS(E_F) in states/eV/f.u.: 9.3
Raw total energy in eV/atom: -6.435

***

Entry 2:
## Pr6GaPt2I3 (GGA-PBE)

Data for a geometry-optimized Pr6GaPt2I3 structure.

Cell: 7.503 7.503 8.414 Å, 98.58 98.58 119.93°
Element x y z (fractional)
Pr (0.933, 0.589, 0.802)
Pr (0.720, 0.720, 0.195)
Ga (0.000, 0.000, 0.000)
I (0.500, 0.500, 0.500)
I (0.161, 0.839, 0.500)
Pr (0.589, 0.933, 0.802)
Pr (0.411, 0.067, 0.198)
I (0.839, 0.161, 0.500)
Pr (0.280, 0.280, 0.805)
Pt (0.668, 0.332, 0.000)
Pr (0.067, 0.411, 0.198)
Pt (0.332, 0.668, 0.000)

## Properties
Crystal system: monoclinic
Magnetization in μB per formula unit: 0.0
E_form (uncorrected) in meV/atom: -961
DOS(E_F) in states/eV/f.u.: 11.6
Raw total energy in eV/atom: -4.997

***

Entry 3:
## SmZn3CuAu (GGA-PBE)

Data for a geometry-optimized SmZn3CuAu structure.

Cell: 5.854 5.946 7.039 Å, 114.99 90.00 90.00°
Element x y z (fractional)
Zn (0.000, 0.708, 0.000)
Zn (0.500, 0.708, 0.000)
Zn (0.750, 0.869, 0.739)
Cu (0.250, 0.930, 0.861)
Sm (0.250, 0.717, 0.433)
Sm (0.750, 0.283, 0.567)
Au (0.250, 0.340, 0.680)
Au (0.750, 0.660, 0.320)
Zn (0.500, 0.292, 0.000)
Cu (0.750, 0.070, 0.139)
Zn (0.000, 0.292, 0.000)
Zn (0.250, 0.131, 0.261)

## Properties
Crystal system: orthorhombic
ΔE_f in meV per atom: -233
Magnetization in μB per formula unit: 0.0
DOS(E_F) in states/eV/f.u.: 2.5
Raw total energy in eV/atom: -2.885

***

Entry 4:
## La2Mg3Cd9 (GGA-PBE)

Data for a geometry-optimized La2Mg3Cd9 structure.

Cell: 8.768 8.768 10.078 Å, 90.00 90.00 119.32°
Element x y z (fractional)
Cd (0.668, 0.668, 0.454)
Cd (0.343, 0.014, 0.090)
Mg (0.684, 0.316, 0.500)
La (0.997, 0.679, 0.250)
Cd (0.986, 0.657, 0.910)
La (0.321, 0.003, 0.750)
Mg (0.000, 0.000, 0.500)
Cd (0.986, 0.657, 0.590)
Cd (0.446, 0.641, 0.750)
Cd (0.641, 0.446, 0.750)
Mg (0.000, 0.000, 0.000)
Cd (0.014, 0.343, 0.410)
Cd (0.657, 0.986, 0.590)
Cd (0.014, 0.343, 0.090)
Mg (0.316, 0.684, 0.000)
Cd (0.343, 0.014, 0.410)
Mg (0.316, 0.684, 0.500)
Cd (0.143, 0.143, 0.250)
Cd (0.657, 0.986, 0.910)
Cd (0.857, 0.857, 0.750)
Cd (0.332, 0.332, 0.546)
Cd (0.554, 0.359, 0.250)
La (0.003, 0.321, 0.750)
Cd (0.668, 0.668, 0.046)
Mg (0.684, 0.316, 0.000)
La (0.679, 0.997, 0.250)
Cd (0.359, 0.554, 0.250)
Cd (0.332, 0.332, 0.954)

## Properties
Crystal system: orthorhombic
ΔE_f in meV per atom: -243
Magnetization in μB per formula unit: 0.0
DOS(E_F) in states/eV/f.u.: 6.3
Raw total energy in eV/atom: -1.877